An optimized crystal structure of CsPuCrO6, computed with PBE with a Hubbard U.

a = 7.083 Å, b = 7.836 Å, c = 10.486 Å
α = 90.00°, β = 90.00°, γ = 90.00°
Space group Imma (No. 74)
Asymmetric unit:
Cs  0.000  0.250  0.116 [4 per cell]
Pu  0.000  0.000  0.500 [4 per cell]
Cr  0.250  0.250  0.750 [4 per cell]
O  0.000  0.250  0.422 [4 per cell]
O  0.000  0.250  0.795 [4 per cell]
O  0.198  0.069  0.622 [16 per cell]

## Properties
The calculation puts the density of states at the Fermi level at 8.57 states/eV per cell. As for the total energy: -7.8298 eV per atom.